{
  "formula": "VReSi",
  "functional": "PBE",
  "state": "relaxed",
  "total_energy_ev_per_atom": -9.229,
  "m_tot_mub_per_cell": 0.00,
  "raw_formation_energy_ev_per_atom": -0.23,
  "lattice_angstrom": [[1.3921, -7.1816, 0.0000], [1.3921, 7.1816, 0.0000], [0.0000, 0.0000, 4.1220]],
  "species": ["V", "V", "Re", "Re", "Si", "Si"],
  "fractional_positions": [[0.1014, 0.8986, 0.7500], [0.8986, 0.1014, 0.2500], [0.2859, 0.7141, 0.7500], [0.7141, 0.2859, 0.2500], [0.4527, 0.5473, 0.7500], [0.5473, 0.4527, 0.2500]]
}

{
  "formula": "VReSi2",
  "functional": "PBE",
  "state": "relaxed",
  "total_energy_ev_per_atom": -8.256,
  "m_tot_mub_per_cell": 0.00,
  "raw_formation_energy_ev_per_atom": -0.15,
  "lattice_angstrom": [[2.9277, 0.0000, 0.0000], [0.0000, 2.9277, 0.0000], [0.0000, 0.0000, 6.2755]],
  "species": ["V", "Re", "Si", "Si"],
  "fractional_positions": [[0.0000, 0.0000, 0.0000], [0.0000, 0.0000, 0.5000], [0.5000, 0.5000, 0.2643], [0.5000, 0.5000, 0.7357]]
}

{
  "formula": "V3ReSi",
  "functional": "PBE",
  "state": "relaxed",
  "total_energy_ev_per_atom": -8.115,
  "m_tot_mub_per_cell": 0.00,
  "raw_formation_energy_ev_per_atom": 0.93,
  "lattice_angstrom": [[4.2872, 0.0000, 0.0000], [0.0000, 4.2872, 0.0000], [0.0000, 0.0000, 4.2872]],
  "species": ["V", "V", "V", "Re", "Si"],
  "fractional_positions": [[0.0000, 0.0000, 0.5000], [0.0000, 0.5000, 0.0000], [0.5000, 0.0000, 0.0000], [0.5000, 0.5000, 0.5000], [0.0000, 0.0000, 0.0000]]
}